Entry 1:
Entry from the Alexandria database: an optimized crystal structure of Sm3YB2N6 (GGA-PBE).

The value obtained for the density of states at the Fermi level is 0.32 states/eV/cell. The formation energy from raw total energies comes out at -1340 kJ/mol of formula units. The calculation puts the mass density at 6306 kg/m3. The total energy comes out at -8.152 eV/atom.

The structure belongs to space group P-3m1 (No. 164); the cell edges are 5.5984, 5.5984 and 6.2635 Å and the angles 90.00°, 90.00° and 120.00°. The inequivalent atoms are Sm at (0.0000, 0.0000, 0.0000), Sm at (0.3333, 0.6667, 0.6612), Y at (0.0000, 0.0000, 0.5000), B at (0.3333, 0.6667, 0.2451) and N at (0.1844, 0.3687, 0.2708).

Entry 2:
Entry from the Alexandria database: an optimized crystal structure of PaMnCoP2 (GGA-PBE).

The value obtained for the density of states at the Fermi level is 7.84 states/eV/cell. The calculation puts the mass density at 9615 kg/m3. As for the energy of formation: -926.1 meV per atom. The total energy comes out at -8.244 eV/atom.

The structure belongs to space group I-4m2 (No. 119); the cell edges are 3.8450, 3.8450 and 9.5059 Å and the angles 90.00°, 90.00° and 90.00°. The inequivalent atoms are Pa at (0.0000, 0.0000, 0.0000), Mn at (0.0000, 0.5000, 0.7500), Co at (0.0000, 0.5000, 0.2500) and P at (0.0000, 0.0000, 0.3724).